Entry 1:
Below is a relaxed structure of Mg6CdW, with properties calculated at the GGA-PBE level.

Geometry as POSCAR:
```
Mg6CdW
1.0
4.892 0.000 0.000
0.000 3.087 5.352
0.000 -3.087 5.352
Mg Cd W
6 1 1
Cartesian
0.000 0.000 0.000 Mg
0.000 -1.450 2.525 Mg
0.000 1.450 2.525 Mg
0.000 0.000 5.258 Mg
2.446 -1.558 4.339 Mg
2.446 1.558 4.339 Mg
2.446 0.000 7.034 Cd
2.446 0.000 1.659 W
```

Output
Its formation energy is 25.1 kJ/mol of atoms. For the energy above the lowest structure with this stoichiometry, the calculation gives 0.31 kcal/mol of atoms. The theoretical density comes out at 4.54 Mg/m³.



Entry 2:
Below is a relaxed structure of K2RbTaBr8, with properties calculated at the GGA-PBE level.

Geometry as POSCAR:
```
K2RbTaBr8
1.0
6.446 0.000 0.000
2.770 7.645 0.000
0.101 0.075 10.053
K Rb Ta Br
2 1 1 8
Cartesian
1.556 3.791 2.278 K
7.761 3.930 7.775 K
0.000 0.000 0.000 Rb
0.051 0.038 5.026 Ta
1.999 1.670 5.073 Br
3.948 6.274 6.819 Br
3.987 6.327 3.226 Br
2.768 2.156 9.937 Br
6.550 5.565 0.116 Br
5.330 1.393 6.827 Br
5.369 1.446 3.234 Br
7.319 6.051 4.980 Br
```

Output
The theoretical density comes out at 3.30 Mg/m³. Its total energy is -3.644 eV per atom.



Entry 3:
Below is a relaxed structure of TmSi2Pd4, with properties calculated at the GGA-PBE level.

Geometry as POSCAR:
```
TmSi2Pd4
1.0
16.900 0.000 0.000
0.000 4.145 0.000
0.000 0.000 6.521
Tm Si Pd
4 8 16
Cartesian
2.378 1.036 0.162 Tm
6.072 3.109 3.423 Tm
10.828 1.036 3.098 Tm
14.521 3.109 6.359 Tm
0.700 3.109 1.681 Si
3.664 1.036 3.583 Si
4.786 3.109 0.322 Si
7.750 1.036 4.942 Si
9.150 3.109 1.579 Si
12.114 1.036 6.200 Si
13.236 3.109 2.939 Si
16.200 1.036 4.840 Si
0.453 3.109 5.603 Pd
1.223 1.036 3.308 Pd
3.125 3.109 2.150 Pd
3.376 3.109 4.905 Pd
5.073 1.036 1.644 Pd
5.325 1.036 5.411 Pd
7.226 3.109 0.048 Pd
7.997 1.036 2.342 Pd
8.903 3.109 4.179 Pd
9.673 1.036 6.474 Pd
11.574 3.109 1.110 Pd
11.826 3.109 4.878 Pd
13.523 1.036 1.617 Pd
13.775 1.036 4.371 Pd
15.676 3.109 3.213 Pd
16.447 1.036 0.918 Pd
```

Output
For the energy above the lowest structure with this stoichiometry, the calculation gives 0.59 kcal/mol of atoms. The theoretical density comes out at 9.46 Mg/m³.